{
  "formula": "FeAs2BrO",
  "functional": "GGA+U",
  "state": "relaxed",
  "lattice_angstrom": [[4.847, 0.000, 0.000], [0.000, 4.847, 0.000], [0.000, 0.000, 4.943]],
  "species": ["Fe", "As", "As", "Br", "O"],
  "fractional_positions": [[0.000, 0.000, 0.000], [0.000, 0.500, 0.000], [0.500, 0.000, 0.000], [0.000, 0.000, 0.500], [0.500, 0.500, 0.500]],
  "vol_a3_per_cell": 116.1,
  "energy_ev_per_atom": -3.309,
  "n_ef_per_ev_atom": 1.21,
  "total_magnetization_mub_per_fu": 3.66,
  "de_polymorph_mev_per_atom": 698
}